Compound: Hf2IrPb
Source: Alexandria via LeMat-Bulk
Functional: PBE
Structure: optimized geometry

Summary:
Formation enthalpy at 0 K: 0.342 eV per atom
Space-group type: I-42d, No. 122

Cell: 10.116 10.116 10.116 Å, 155.30 155.30 35.21°
Atoms (fractional coordinates):
Hf  0.118  0.625  0.993
Hf  0.375  0.368  0.493
Hf  0.632  0.125  0.007
Hf  0.875  0.882  0.507
Ir  0.000  0.000  0.000
Ir  0.750  0.250  0.500
Pb  0.250  0.750  0.500
Pb  0.500  0.500  0.000